Below is a geometry-optimized PmPaTa structure, with properties calculated at the PBE level. Values from VASP.

Values from the calculation:
- Spin magnetization: 0.173 μB per atom
- ρ: 11.3 g/cm³
- SG: F-43m
- DFT formation energy: 1.38 eV per atom

Structure (Quantum ESPRESSO input):
```
&SYSTEM
  ibrav = 0, nat = 3, ntyp = 3
/
ATOMIC_SPECIES
Pa 231.04 Pa.upf
Ta 180.95 Ta.upf
Pm 145.00 Pm.upf
ATOMIC_POSITIONS angstrom
Pa 3.442 3.442 3.442
Ta 0.000 0.000 0.000
Pm 1.721 1.721 1.721
CELL_PARAMETERS angstrom
0.000 3.442 3.442
3.442 0.000 3.442
3.442 3.442 0.000
```

Below is a geometry-optimized BaP4Au8 structure, with properties calculated at the PBE level. Values from VASP.

Values from the calculation:
- ρ: 10.4 g/cm³
- Total DFT energy (no corrections): -4.017 eV per atom
- SG: I4/m

Structure (Quantum ESPRESSO input):
```
&SYSTEM
  ibrav = 0, nat = 13, ntyp = 3
/
ATOMIC_SPECIES
P 30.97 P.upf
Au 196.97 Au.upf
Ba 137.33 Ba.upf
ATOMIC_POSITIONS angstrom
P -2.537 -2.748 -1.290
P -1.780 -1.455 3.219
P -0.369 -5.809 0.900
P 0.388 -4.517 5.410
Au -2.931 -4.527 -2.981
Au -0.477 -4.086 -0.888
Au -0.517 -8.206 1.302
Au 0.016 -4.892 3.034
Au -2.164 -2.373 1.086
Au 0.783 -2.737 7.101
Au -1.671 -3.179 5.008
Au -1.632 0.941 2.818
Ba 0.000 0.000 0.000
CELL_PARAMETERS angstrom
-0.684 3.936 7.642
-3.434 -3.583 -7.052
1.969 -7.617 3.530
```